VASP calculation (GGA-PBE) on a relaxed structure of SrCoP.

Formation energy = -20 kJ per mole of atoms
N(E_F) = 0.609 states/eV per atom

Cell and atoms, written as CIF:
```
data_SrCoP
_chemical_formula_sum 'Sr2 Co2 P2'
_cell_length_a 3.223
_cell_length_b 3.223
_cell_length_c 10.637
_cell_angle_alpha 90.00
_cell_angle_beta 90.00
_cell_angle_gamma 90.00
_space_group_name_H-M_alt 'I 4 m m'
_space_group_IT_number 107
_space_group_name_Hall 'I 4 -2'
loop_
_atom_site_label
_atom_site_type_symbol
_atom_site_fract_x
_atom_site_fract_y
_atom_site_fract_z
Sr1 Sr 0.000 0.000 0.000
Co1 Co 0.000 0.000 0.724
P1 P 0.000 0.000 0.287
```


VASP calculation (GGA-PBE) on a relaxed structure of SrTaCo2P.

Formation energy = 87 kJ per mole of atoms
N(E_F) = 1.134 states/eV per atom

Cell and atoms, written as CIF:
```
data_SrTaCo2P
_chemical_formula_sum 'Sr1 Ta1 Co2 P1'
_cell_length_a 4.249
_cell_length_b 4.249
_cell_length_c 5.230
_cell_angle_alpha 90.00
_cell_angle_beta 90.00
_cell_angle_gamma 90.00
_space_group_name_H-M_alt 'P 4/m m m'
_space_group_IT_number 123
_space_group_name_Hall '-P 4 2'
loop_
_atom_site_label
_atom_site_type_symbol
_atom_site_fract_x
_atom_site_fract_y
_atom_site_fract_z
Sr1 Sr 0.000 0.000 0.000
Ta1 Ta 0.500 0.500 0.000
Co1 Co 0.000 0.500 0.500
P1 P 0.000 0.000 0.500
```


VASP calculation (GGA-PBE) on a relaxed structure of SrCoTcP2.

Formation energy = -81 kJ per mole of atoms
N(E_F) = 0.510 states/eV per atom

Cell and atoms, written as CIF:
```
data_SrCoTcP2
_chemical_formula_sum 'Sr2 Co2 Tc2 P4'
_cell_length_a 3.942
_cell_length_b 3.942
_cell_length_c 11.549
_cell_angle_alpha 90.00
_cell_angle_beta 90.00
_cell_angle_gamma 90.00
_space_group_name_H-M_alt 'I -4 m 2'
_space_group_IT_number 119
_space_group_name_Hall 'I -4 -2'
loop_
_atom_site_label
_atom_site_type_symbol
_atom_site_fract_x
_atom_site_fract_y
_atom_site_fract_z
Sr1 Sr 0.000 0.000 0.000
Co1 Co 0.000 0.500 0.750
Tc1 Tc 0.000 0.500 0.250
P1 P 0.000 0.000 0.351
```


VASP calculation (GGA-PBE) on a relaxed structure of Sr2CoTeP.

Polymorph energy (0 for the lowest one) = 0.0 kJ/mol of atoms
N(E_F) = 0.308 states/eV per atom
Raw formation energy = -0.826 eV per atom

Cell and atoms, written as CIF:
```
data_Sr2CoTeP
_chemical_formula_sum 'Sr2 Co1 Te1 P1'
_cell_length_a 5.809
_cell_length_b 5.809
_cell_length_c 4.137
_cell_angle_alpha 90.00
_cell_angle_beta 90.00
_cell_angle_gamma 90.00
_space_group_name_H-M_alt 'P 4/m m m'
_space_group_IT_number 123
_space_group_name_Hall '-P 4 2'
loop_
_atom_site_label
_atom_site_type_symbol
_atom_site_fract_x
_atom_site_fract_y
_atom_site_fract_z
Sr1 Sr 0.000 0.500 0.000
Co1 Co 0.000 0.000 0.000
Te1 Te 0.500 0.500 0.500
P1 P 0.000 0.000 0.500
```